Record 1
This record from Alexandria via LeMat-Bulk describes an optimized crystal structure of ErTm5Pu. The functional is PBE.

Cell lengths 8.547, 3.539, 13.925 Å; angles 90.00, 104.00, 90.00 degrees
Sites, in units of the cell vectors:
1 Er 0.089 0.250 0.101
2 Er 0.911 0.750 0.899
3 Tm 0.153 0.250 0.775
4 Tm 0.167 0.750 0.566
5 Tm 0.192 0.250 0.355
6 Tm 0.329 0.750 0.985
7 Tm 0.496 0.250 0.218
8 Tm 0.504 0.750 0.782
9 Tm 0.671 0.250 0.015
10 Tm 0.808 0.750 0.645
11 Tm 0.833 0.250 0.434
12 Tm 0.847 0.750 0.225
13 Pu 0.485 0.250 0.550
14 Pu 0.515 0.750 0.450

Summary:
- magnetization (μB/cell) = 0.00
- electronic total energy (eV per atom) = -5.769
- N(E_F) (states/eV/f.u.) = 12.01
- formation energy (meV per atom) = 123.9
- crystal system = monoclinic



Record 2
This record from Alexandria via LeMat-Bulk describes an optimized crystal structure of Er8Tm3Pu. The functional is PBE.

Cell lengths 8.255, 8.255, 8.255 Å; angles 117.80, 117.80, 93.85 degrees
Sites, in units of the cell vectors:
1 Er 0.105 0.105 0.746
2 Er 0.197 0.197 0.462
3 Er 0.265 0.803 0.000
4 Er 0.359 0.359 0.254
5 Er 0.641 0.895 0.000
6 Er 0.735 0.735 0.538
7 Er 0.803 0.265 0.000
8 Er 0.895 0.641 0.000
9 Tm 0.250 0.750 0.500
10 Tm 0.500 0.500 0.000
11 Tm 0.750 0.250 0.500
12 Pu 0.000 0.000 0.000

Summary:
- magnetization (μB/cell) = 4.27
- electronic total energy (eV per atom) = -4.735
- N(E_F) (states/eV/f.u.) = 15.17
- formation energy (meV per atom) = 619.0
- crystal system = tetragonal



Record 3
This record from Alexandria via LeMat-Bulk describes an optimized crystal structure of ErTm4Pu. The functional is PBE.

Cell lengths 8.607, 8.607, 8.607 Å; angles 98.54, 98.54, 134.66 degrees
Sites, in units of the cell vectors:
1 Er 0.000 0.000 0.000
2 Er 0.750 0.250 0.500
3 Tm 0.229 0.481 0.747
4 Tm 0.231 0.479 0.247
5 Tm 0.231 0.984 0.753
6 Tm 0.242 0.970 0.272
7 Tm 0.699 0.970 0.728
8 Tm 0.720 0.492 0.772
9 Tm 0.720 0.949 0.228
10 Tm 0.734 0.481 0.253
11 Pu 0.228 0.728 0.500
12 Pu 0.478 0.478 0.000

Summary:
- magnetization (μB/cell) = 13.01
- electronic total energy (eV per atom) = -5.398
- N(E_F) (states/eV/f.u.) = 8.15
- formation energy (meV per atom) = 732.0
- crystal system = tetragonal



Record 4
This record from Alexandria via LeMat-Bulk describes an optimized crystal structure of Er4Tm7Pu. The functional is PBE.

Cell lengths 8.547, 8.547, 9.291 Å; angles 118.76, 118.76, 39.19 degrees
Sites, in units of the cell vectors:
1 Er 0.090 0.090 0.452
2 Er 0.238 0.238 0.267
3 Er 0.762 0.762 0.733
4 Er 0.910 0.910 0.548
5 Tm 0.000 0.000 0.000
6 Tm 0.208 0.208 0.882
7 Tm 0.333 0.333 0.660
8 Tm 0.439 0.439 0.282
9 Tm 0.561 0.561 0.718
10 Tm 0.667 0.667 0.340
11 Tm 0.792 0.792 0.118
12 Pu 0.500 0.500 0.000

Summary:
- magnetization (μB/cell) = 7.37
- electronic total energy (eV per atom) = -5.064
- N(E_F) (states/eV/f.u.) = 20.05
- formation energy (meV per atom) = 259.7
- crystal system = monoclinic



Record 5
This record from Alexandria via LeMat-Bulk describes an optimized crystal structure of ErTm6Pu. The functional is PBE.

Cell lengths 6.904, 6.904, 6.860 Å; angles 104.12, 104.12, 120.51 degrees
Sites, in units of the cell vectors:
1 Er 0.000 0.000 0.000
2 Tm 0.045 0.488 0.252
3 Tm 0.263 0.263 0.741
4 Tm 0.488 0.045 0.252
5 Tm 0.512 0.955 0.748
6 Tm 0.737 0.737 0.259
7 Tm 0.955 0.512 0.748
8 Pu 0.500 0.500 0.500

Summary:
- magnetization (μB/cell) = 7.66
- electronic total energy (eV per atom) = -5.309
- N(E_F) (states/eV/f.u.) = 12.75
- formation energy (meV per atom) = 406.9
- crystal system = monoclinic



Record 6
This record from Alexandria via LeMat-Bulk describes an optimized crystal structure of Er5Tm4Pu. The functional is PBE.

Cell lengths 8.025, 8.025, 8.025 Å; angles 96.41, 96.41, 140.95 degrees
Sites, in units of the cell vectors:
1 Er 0.000 0.000 0.000
2 Er 0.313 0.313 0.631
3 Er 0.313 0.682 0.000
4 Er 0.682 0.313 0.000
5 Er 0.682 0.682 0.369
6 Tm 0.324 0.998 0.326
7 Tm 0.671 0.998 0.674
8 Tm 0.998 0.324 0.326
9 Tm 0.998 0.671 0.674
10 Pu 0.500 0.500 0.000

Summary:
- magnetization (μB/cell) = 5.66
- electronic total energy (eV per atom) = -5.227
- N(E_F) (states/eV/f.u.) = 11.86
- formation energy (meV per atom) = 276.7
- crystal system = tetragonal



Record 7
This record from Alexandria via LeMat-Bulk describes an optimized crystal structure of Er12Tm7Pu. The functional is PBE.

Cell lengths 9.697, 9.697, 9.697 Å; angles 109.47, 109.47, 109.47 degrees
Sites, in units of the cell vectors:
1 Er 0.000 0.253 0.747
2 Er 0.000 0.747 0.253
3 Er 0.253 0.000 0.747
4 Er 0.253 0.253 0.506
5 Er 0.253 0.506 0.253
6 Er 0.253 0.747 0.000
7 Er 0.494 0.747 0.747
8 Er 0.506 0.253 0.253
9 Er 0.747 0.000 0.253
10 Er 0.747 0.253 0.000
11 Er 0.747 0.494 0.747
12 Er 0.747 0.747 0.494
13 Tm 0.000 0.000 0.500
14 Tm 0.000 0.500 0.000
15 Tm 0.000 0.500 0.500
16 Tm 0.500 0.000 0.000
17 Tm 0.500 0.000 0.500
18 Tm 0.500 0.500 0.000
19 Tm 0.500 0.500 0.500
20 Pu 0.000 0.000 0.000

Summary:
- magnetization (μB/cell) = 6.28
- electronic total energy (eV per atom) = -4.242
- N(E_F) (states/eV/f.u.) = 33.56
- formation energy (meV per atom) = 777.3
- crystal system = cubic



Record 8
This record from Alexandria via LeMat-Bulk describes an optimized crystal structure of ErTmPu2. The functional is PBE.

Cell lengths 11.487, 11.487, 11.487 Å; angles 17.06, 17.06, 17.06 degrees
Sites, in units of the cell vectors:
1 Er 0.000 0.000 0.000
2 Tm 0.500 0.500 0.500
3 Pu 0.250 0.250 0.250
4 Pu 0.750 0.750 0.750

Summary:
- magnetization (μB/cell) = 11.89
- electronic total energy (eV per atom) = -9.261
- N(E_F) (states/eV/f.u.) = 16.69
- formation energy (meV per atom) = 163.7
- crystal system = trigonal